(1)
An optimized crystal structure of Pr4CuRh, computed with PBE-GGA.

a b c (Å): 13.966 13.966 13.966
angles (deg): 90.00 90.00 90.00
Space group F-43m (No. 216)
Unique sites:
Pr1 0.000 0.000 0.187
Pr2 0.059 0.250 0.750
Pr3 0.105 0.105 0.395
Cu1 0.157 0.157 0.157
Rh1 0.107 0.107 0.607

(2)
An optimized crystal structure of Pr4CuRh, computed with PBE-GGA.

a b c (Å): 9.587 9.587 8.687
angles (deg): 90.00 90.00 90.00
Space group I4_1md (No. 109)
Unique sites:
Pr1 0.000 0.198 0.000
Pr2 0.000 0.199 0.484
Cu1 0.000 0.000 0.745
Rh1 0.000 0.000 0.242

Number 1: energy above the lowest structure with this stoichiometry 0.0 meV per atom, uncorrected energy -5.36 eV/atom, ΔE_f -265 meV/atom. Number 2: energy above the lowest structure with this stoichiometry 128.6 meV per atom, uncorrected energy -5.23 eV/atom, ΔE_f -137 meV/atom.